PuMnB2O8 | Alexandria | PBE+U | relaxed; density of states at the Fermi level = 6.1 states/eV/f.u.; SG = I-4m2 (119); uncorrected energy = -97.62 eV per cell
1.0
-4.0540 3.5322 0.5606
-0.2600 -3.2474 -4.3142
-0.1866 -3.2226 4.3365
Pu Mn B O
1 1 2 8
Direct
0.2500 0.7500 0.5000 Pu
0.0000 0.0000 0.0000 Mn
0.7500 0.2500 0.5000 B
0.5000 0.5000 0.0000 B
0.4107 0.0855 0.3253 O
0.3375 0.5143 0.1768 O
0.3375 0.1608 0.8232 O
0.7602 0.0855 0.6747 O
0.8392 0.6625 0.1768 O
0.9145 0.2398 0.3253 O
0.9145 0.5893 0.6747 O
0.4857 0.6625 0.8232 O